Entry 1:
! PBE AcLaAlPt, relaxed; values from VASP
&SYSTEM
  ibrav = 0, nat = 4, ntyp = 4
/
ATOMIC_SPECIES
Ac 227.00 Ac.upf
La 138.91 La.upf
Al 26.98 Al.upf
Pt 195.08 Pt.upf
CELL_PARAMETERS angstrom
2.267 1.309 6.868
-2.267 1.309 6.868
0.000 -2.618 6.868
ATOMIC_POSITIONS crystal
Ac 0.000 0.000 0.000
La 0.180 0.180 0.180
Al 0.766 0.766 0.766
Pt 0.424 0.424 0.424
! - DOS(E_F) (states/eV/cell) = 3.56
! - SG = R3m (160)
! - E (eV/atom) = -5.403
! - ΔH_f (0 K) (eV/atom) = -0.698
! - energy relative to the lowest polymorph listed for this composition (kJ per mole of atoms) = 0.00

***

Entry 2:
! PBE NaLuCdSn, relaxed; values from VASP
&SYSTEM
  ibrav = 0, nat = 4, ntyp = 4
/
ATOMIC_SPECIES
Na 22.99 Na.upf
Lu 174.97 Lu.upf
Cd 112.41 Cd.upf
Sn 118.71 Sn.upf
CELL_PARAMETERS angstrom
0.000 3.689 3.689
3.689 0.000 3.689
3.689 3.689 0.000
ATOMIC_POSITIONS crystal
Na 0.000 0.000 0.000
Lu 0.500 0.500 0.500
Cd 0.750 0.750 0.750
Sn 0.250 0.250 0.250
! - DOS(E_F) (states/eV/cell) = 1.37
! - SG = F-43m (216)
! - E (eV/atom) = -2.989
! - ΔH_f (0 K) (eV/atom) = -0.299

***

Entry 3:
! PBE KBaSi, relaxed; values from VASP
&SYSTEM
  ibrav = 0, nat = 3, ntyp = 3
/
ATOMIC_SPECIES
K 39.10 K.upf
Ba 137.33 Ba.upf
Si 28.09 Si.upf
CELL_PARAMETERS angstrom
-2.027 2.027 7.992
2.027 -2.027 7.992
2.027 2.027 -7.992
ATOMIC_POSITIONS crystal
K 0.000 0.000 0.000
Ba 0.764 0.764 0.000
Si 0.371 0.371 0.000
! - DOS(E_F) (states/eV/cell) = 2.62
! - SG = I4mm (107)
! - raw formation energy (eV per atom) = 0.12
! - E (eV/atom) = -2.695
! - energy relative to the lowest polymorph listed for this composition (kJ per mole of atoms) = 34.76

***

Entry 4:
! PBE Ta3Ni2Pt4, relaxed; values from VASP
&SYSTEM
  ibrav = 0, nat = 18, ntyp = 3
/
ATOMIC_SPECIES
Ta 180.95 Ta.upf
Ni 58.69 Ni.upf
Pt 195.08 Pt.upf
CELL_PARAMETERS angstrom
6.339 -4.662 0.000
6.339 4.662 0.000
-0.817 0.000 4.699
ATOMIC_POSITIONS crystal
Ta 0.118 0.882 0.750
Ta 0.201 0.458 0.929
Ta 0.458 0.201 0.429
Ta 0.542 0.799 0.571
Ta 0.799 0.542 0.071
Ta 0.882 0.118 0.250
Ni 0.022 0.768 0.182
Ni 0.232 0.978 0.318
Ni 0.768 0.022 0.682
Ni 0.978 0.232 0.818
Pt 0.095 0.331 0.378
Pt 0.312 0.574 0.470
Pt 0.331 0.095 0.878
Pt 0.426 0.688 0.030
Pt 0.574 0.312 0.970
Pt 0.669 0.905 0.122
Pt 0.688 0.426 0.530
Pt 0.905 0.669 0.622
! - DOS(E_F) (states/eV/cell) = 14.79
! - SG = C2/c (15)
! - E (eV/atom) = -8.482
! - ΔH_f (0 K) (eV/atom) = -0.562

***

Entry 5:
! PBE EuScHg2, relaxed; values from VASP
&SYSTEM
  ibrav = 0, nat = 4, ntyp = 3
/
ATOMIC_SPECIES
Eu 151.96 Eu.upf
Sc 44.96 Sc.upf
Hg 200.59 Hg.upf
CELL_PARAMETERS angstrom
3.647 0.000 0.000
0.000 3.647 0.000
0.000 0.000 7.591
ATOMIC_POSITIONS crystal
Eu 0.000 0.000 0.000
Sc 0.000 0.000 0.500
Hg 0.500 0.500 0.286
Hg 0.500 0.500 0.714
! - DOS(E_F) (states/eV/cell) = 9.30
! - SG = P4/mmm (123)
! - E (eV/atom) = -4.759
! - ΔH_f (0 K) (eV/atom) = -0.457

***

Entry 6:
! PBE ScAu3, relaxed; values from VASP
&SYSTEM
  ibrav = 0, nat = 8, ntyp = 2
/
ATOMIC_SPECIES
Sc 44.96 Sc.upf
Au 196.97 Au.upf
CELL_PARAMETERS angstrom
-2.154 2.154 8.021
2.154 -2.154 8.021
2.154 2.154 -8.021
ATOMIC_POSITIONS crystal
Sc 0.129 0.129 0.000
Sc 0.871 0.871 0.000
Au 0.000 0.500 0.500
Au 0.250 0.750 0.500
Au 0.377 0.377 0.000
Au 0.500 0.000 0.500
Au 0.623 0.623 0.000
Au 0.750 0.250 0.500
! - DOS(E_F) (states/eV/cell) = 5.56
! - SG = I4/mmm (139)
! - E (eV/atom) = -4.586
! - ΔH_f (0 K) (eV/atom) = -0.545